This record from Alexandria via LeMat-Bulk describes Ce2Sm3Cu2Ge4 after structural relaxation. The functional is PBE.

abc: 4.284 4.284 15.968
angles: 90.00 90.00 120.00
Site moments in Bohr magnetons follow the coordinates.
Atoms (fractional coordinates):
Cu: 0.333 0.667 0.124  0.00
Cu: 0.667 0.333 0.876  0.00
Sm: 0.000 0.000 0.000  0.00
Ce: 0.333 0.667 0.549  0.61
Ge: 0.667 0.333 0.119  0.00
Ge: 0.333 0.667 0.350  -0.02
Ge: 0.333 0.667 0.881  0.00
Sm: 0.000 0.000 0.242  0.01
Ge: 0.667 0.333 0.650  -0.02
Ce: 0.667 0.333 0.451  0.61
Sm: 0.000 0.000 0.758  0.01

Computed properties:
- calculated total energy (eV/atom) = -5.40
- symmetry = P-3m1
- crystal system = trigonal

***

This record from Alexandria via LeMat-Bulk describes Nd2DyErSc4 after structural relaxation. The functional is PBE.

abc: 3.450 5.967 11.198
angles: 79.86 90.00 90.00
Atoms (fractional coordinates):
Dy: 0.000 0.500 0.500
Sc: 0.500 0.252 0.750
Sc: 0.000 0.252 0.249
Nd: 0.500 0.000 0.500
Nd: 0.000 0.000 0.000
Er: 0.500 0.500 0.000
Sc: 0.500 0.748 0.250
Sc: 0.000 0.748 0.751

Computed properties:
- calculated total energy (eV/atom) = -5.44
- symmetry = P2/m
- crystal system = monoclinic

***

no.,energy of formation (eV per atom)
1,-0.611
2,0.065